Material: Ca3Si3Mo2O12
Method: DFT, PBEsol
State: optimized geometry

**Formation energy from raw total energies**: -2.62 eV per atom
**Theoretical density**: 4.3 g cm⁻³
**Volume**: 11.45 Å³ per atom

Lattice parameters (Å, degrees): 10.596 10.596 10.596 109.47 109.47 109.47
Each line ends with the local moment (μB).
Fractional positions:
O (0.592, 0.382, 0.393)  0.03
O (0.118, 0.210, 0.511)  0.03
Ca (0.125, 0.375, 0.750)  0.01
Mo (0.500, 0.000, 0.500)  2.48
O (0.790, 0.989, 0.382)  0.03
Si (0.250, 0.875, 0.625)  0.02
Ca (0.875, 0.250, 0.125)  0.01
O (0.618, 0.107, 0.908)  0.03
Ca (0.750, 0.375, 0.625)  0.01
O (0.382, 0.893, 0.092)  0.03
O (0.882, 0.092, 0.893)  0.03
Mo (0.500, 0.500, 0.500)  2.48
Ca (0.875, 0.625, 0.250)  0.01
O (0.393, 0.882, 0.592)  0.03
O (0.199, 0.607, 0.989)  0.03
O (0.989, 0.882, 0.290)  0.03
O (0.699, 0.710, 0.592)  0.03
O (0.199, 0.592, 0.710)  0.03
O (0.092, 0.699, 0.210)  0.03
O (0.893, 0.592, 0.882)  0.03
Si (0.375, 0.625, 0.750)  0.02
O (0.989, 0.107, 0.199)  0.03
O (0.882, 0.790, 0.489)  0.03
O (0.408, 0.790, 0.301)  0.03
O (0.092, 0.393, 0.382)  0.03
O (0.210, 0.011, 0.618)  0.03
O (0.908, 0.607, 0.618)  0.03
Si (0.625, 0.250, 0.875)  0.02
O (0.489, 0.199, 0.107)  0.03
O (0.118, 0.908, 0.107)  0.03
O (0.290, 0.908, 0.801)  0.03
Ca (0.750, 0.875, 0.125)  0.01
O (0.607, 0.489, 0.699)  0.03
Ca (0.625, 0.875, 0.750)  0.01
O (0.210, 0.199, 0.092)  0.03
O (0.790, 0.801, 0.908)  0.03
Si (0.250, 0.375, 0.125)  0.02
Mo (0.000, 0.000, 0.000)  2.48
Mo (0.500, 0.000, 0.000)  2.48
Ca (0.375, 0.250, 0.625)  0.01
O (0.893, 0.301, 0.511)  0.03
O (0.382, 0.489, 0.790)  0.03
O (0.592, 0.210, 0.699)  0.03
Si (0.875, 0.750, 0.625)  0.02
Mo (0.000, 0.500, 0.500)  2.48
O (0.710, 0.618, 0.011)  0.03
O (0.908, 0.301, 0.790)  0.03
O (0.801, 0.393, 0.011)  0.03
O (0.107, 0.408, 0.118)  0.03
O (0.618, 0.511, 0.210)  0.03
Ca (0.625, 0.750, 0.375)  0.01
O (0.607, 0.118, 0.408)  0.03
O (0.393, 0.511, 0.301)  0.03
Si (0.750, 0.125, 0.375)  0.02
Mo (0.500, 0.500, 0.000)  2.48
Si (0.625, 0.375, 0.250)  0.02
O (0.710, 0.092, 0.199)  0.03
O (0.408, 0.618, 0.607)  0.03
Ca (0.375, 0.125, 0.250)  0.01
Si (0.375, 0.750, 0.125)  0.02
O (0.699, 0.989, 0.607)  0.03
O (0.301, 0.290, 0.408)  0.03
O (0.511, 0.710, 0.118)  0.03
Mo (0.000, 0.500, 0.000)  2.48
O (0.511, 0.801, 0.893)  0.03
O (0.107, 0.699, 0.489)  0.03
Mo (0.000, 0.000, 0.500)  2.48
Ca (0.250, 0.125, 0.875)  0.01
O (0.801, 0.408, 0.290)  0.03
O (0.011, 0.118, 0.710)  0.03
O (0.301, 0.011, 0.393)  0.03
O (0.290, 0.382, 0.989)  0.03
Si (0.875, 0.125, 0.750)  0.02
Ca (0.125, 0.750, 0.875)  0.01
O (0.489, 0.290, 0.882)  0.03
Si (0.125, 0.250, 0.375)  0.02
O (0.011, 0.893, 0.801)  0.03
Ca (0.250, 0.625, 0.375)  0.01
Si (0.750, 0.625, 0.875)  0.02
Si (0.125, 0.875, 0.250)  0.02